Material: MgZrCoBi
Method: DFT, GGA-PBE
State: relaxed

Computed properties:
- size of the total moment (μB/f.u.) = 0.025
- E above lowest polymorph (eV/atom) = 0.000

abc: 6.772 6.772 6.772
angles: 90.00 90.00 90.00
Space group F-43m (No. 216)
Asymmetric unit:
Mg  0.000  0.000  0.000 x4
Zr  0.250  0.250  0.750 x4
Co  0.000  0.000  0.500 x4
Bi  0.250  0.250  0.250 x4